# 1
DFT (PBE-GGA) results for Y4Tm after structural relaxation.

Output
Calculated formation energy, eV per atom: 0.06
Total energy, eV for the cell shown: -60.09

Cell and atoms, written as CIF:
```
data_Y4Tm
_chemical_formula_sum 'Y8 Tm2'
_cell_length_a 5.4470
_cell_length_b 16.7064
_cell_length_c 3.5203
_cell_angle_alpha 90.00
_cell_angle_beta 90.00
_cell_angle_gamma 90.00
_symmetry_space_group_name_H-M 'C m m m'
_symmetry_Int_Tables_number 65
_symmetry_space_group_name_Hall '-C 2 2'
loop_
_atom_site_label
_atom_site_type_symbol
_atom_site_fract_x
_atom_site_fract_y
_atom_site_fract_z
_atom_site_occupancy
Y1 Y 0.0000 0.1086 0.0000 1
Y2 Y 0.0000 0.3011 0.5000 1
Tm1 Tm 0.0000 0.5000 0.5000 1
```

***

# 2
DFT (PBE-GGA) results for Ag5Au3 after structural relaxation.

Output
Calculated formation energy, eV per atom: 0.07
Total energy, eV for the cell shown: -47.07

Cell and atoms, written as CIF:
```
data_Ag5Au3
_chemical_formula_sum 'Ag10 Au6'
_cell_length_a 8.0953
_cell_length_b 8.0953
_cell_length_c 5.3401
_cell_angle_alpha 90.00
_cell_angle_beta 90.00
_cell_angle_gamma 120.00
_symmetry_space_group_name_H-M 'P 63/m c m'
_symmetry_Int_Tables_number 193
_symmetry_space_group_name_Hall '-P 6c 2'
loop_
_atom_site_label
_atom_site_type_symbol
_atom_site_fract_x
_atom_site_fract_y
_atom_site_fract_z
_atom_site_occupancy
Ag1 Ag 0.0000 0.2236 0.2500 1
Ag2 Ag 0.3333 0.6667 0.0000 1
Au1 Au 0.0000 0.4014 0.7500 1
```

***

# 3
DFT (PBE-GGA) results for CeHo2B9 after structural relaxation.

Output
Calculated formation energy, eV per atom: -0.17
Total energy, eV for the cell shown: -231.83

Cell and atoms, written as CIF:
```
data_CeHo2B9
_chemical_formula_sum 'Ce3 Ho6 B27'
_cell_length_a 4.4398
_cell_length_b 4.4398
_cell_length_c 27.3440
_cell_angle_alpha 90.00
_cell_angle_beta 90.00
_cell_angle_gamma 120.00
_symmetry_space_group_name_H-M 'R -3 m'
_symmetry_Int_Tables_number 166
_symmetry_space_group_name_Hall '-R 3 2"'
loop_
_atom_site_label
_atom_site_type_symbol
_atom_site_fract_x
_atom_site_fract_y
_atom_site_fract_z
_atom_site_occupancy
Ce1 Ce 0.0000 0.0000 0.0000 1
Ho1 Ho 0.0000 0.0000 0.1214 1
B1 B 0.0000 0.0000 0.3986 1
B2 B 0.0000 0.0000 0.5000 1
B3 B 0.0909 0.5454 0.9359 1
```

***

# 4
DFT (PBE-GGA) results for CrMoCl2 after structural relaxation.

Output
Total energy, eV for the cell shown: -84.69
Energy relative to the elements, uncorrected, meV per atom: 744

Cell and atoms, written as CIF:
```
data_CrMoCl2
_chemical_formula_sum 'Cr4 Mo4 Cl8'
_cell_length_a 6.5889
_cell_length_b 6.5889
_cell_length_c 6.5889
_cell_angle_alpha 90.00
_cell_angle_beta 90.00
_cell_angle_gamma 90.00
_symmetry_space_group_name_H-M 'F -4 3 m'
_symmetry_Int_Tables_number 216
_symmetry_space_group_name_Hall 'F -4 2 3'
loop_
_atom_site_label
_atom_site_type_symbol
_atom_site_fract_x
_atom_site_fract_y
_atom_site_fract_z
_atom_site_occupancy
Cr1 Cr 0.0000 0.0000 0.0000 1
Mo1 Mo 0.2500 0.2500 0.7500 1
Cl1 Cl 0.0000 0.0000 0.5000 1
Cl2 Cl 0.2500 0.2500 0.2500 1
```

***

# 5
DFT (PBE-GGA) results for Pr2HoSn3Rh4 after structural relaxation.

Output
Calculated formation energy, eV per atom: -0.76
Total energy, eV for the cell shown: -63.13

Cell and atoms, written as CIF:
```
data_Pr2HoSn3Rh4
_chemical_formula_sum 'Pr2 Ho1 Sn3 Rh4'
_cell_length_a 4.4284
_cell_length_b 4.4284
_cell_length_c 11.4416
_cell_angle_alpha 90.00
_cell_angle_beta 90.00
_cell_angle_gamma 90.00
_symmetry_space_group_name_H-M 'P -4 m 2'
_symmetry_Int_Tables_number 115
loop_
_symmetry_equiv_pos_as_xyz
'x,y,z'
'y,-x,-z'
'-x,-y,z'
'-y,x,-z'
'-x,y,z'
'-y,-x,-z'
'x,-y,z'
'y,x,-z'
loop_
_atom_site_label
_atom_site_type_symbol
_atom_site_fract_x
_atom_site_fract_y
_atom_site_fract_z
_atom_site_occupancy
Pr1 Pr 0.0000 0.5000 0.2332 1
Ho1 Ho 0.0000 0.0000 0.5000 1
Sn1 Sn 0.0000 0.5000 0.8740 1
Sn2 Sn 0.5000 0.5000 0.5000 1
Rh1 Rh 0.0000 0.0000 0.0000 1
Rh2 Rh 0.0000 0.5000 0.6454 1
Rh3 Rh 0.5000 0.5000 0.0000 1
```

***

# 6
DFT (PBE-GGA) results for PmAlHIr2 after structural relaxation.

Output
Total energy, eV for the cell shown: -130.44

Cell and atoms, written as CIF:
```
data_PmAlHIr2
_chemical_formula_sum 'Pm4 Al4 H4 Ir8'
_cell_length_a 3.9999
_cell_length_b 11.0766
_cell_length_c 7.0687
_cell_angle_alpha 90.00
_cell_angle_beta 90.00
_cell_angle_gamma 90.00
_symmetry_space_group_name_H-M 'C m c m'
_symmetry_Int_Tables_number 63
_symmetry_space_group_name_Hall '-C 2c 2'
loop_
_atom_site_label
_atom_site_type_symbol
_atom_site_fract_x
_atom_site_fract_y
_atom_site_fract_z
_atom_site_occupancy
Pm1 Pm 0.0000 0.0643 0.2500 1
Al1 Al 0.0000 0.2130 0.7500 1
H1 H 0.0000 0.5000 0.0000 1
Ir1 Ir 0.0000 0.3413 0.0475 1
```

***

# 7
DFT (PBE-GGA) results for NaI2Br2 after structural relaxation.

Output
Total energy, eV for the cell shown: -19.26
Energy relative to the elements, uncorrected, meV per atom: -373

Cell and atoms, written as CIF:
```
data_NaI2Br2
_chemical_formula_sum 'Na2 I4 Br4'
_cell_length_a 8.4355
_cell_length_b 8.4355
_cell_length_c 5.6463
_cell_angle_alpha 90.00
_cell_angle_beta 90.00
_cell_angle_gamma 90.00
_symmetry_space_group_name_H-M 'P 4/m b m'
_symmetry_Int_Tables_number 127
_symmetry_space_group_name_Hall '-P 4 2ab'
loop_
_atom_site_label
_atom_site_type_symbol
_atom_site_fract_x
_atom_site_fract_y
_atom_site_fract_z
_atom_site_occupancy
Na1 Na 0.0000 0.0000 0.0000 1
I1 I 0.1124 0.3876 0.5000 1
Br1 Br 0.2253 0.7253 0.0000 1
```

***

# 8
DFT (PBE-GGA) results for Ca2TlHg8 after structural relaxation.

Output
Calculated formation energy, eV per atom: -0.25
Total energy, eV for the cell shown: -23.01

Cell and atoms, written as CIF:
```
data_Ca2TlHg8
_chemical_formula_sum 'Ca4 Tl2 Hg16'
_cell_length_a 8.5313
_cell_length_b 16.3725
_cell_length_c 5.3691
_cell_angle_alpha 90.00
_cell_angle_beta 127.10
_cell_angle_gamma 90.00
_symmetry_space_group_name_H-M 'C 1 2/m 1'
_symmetry_Int_Tables_number 12
loop_
_symmetry_equiv_pos_as_xyz
'x,y,z'
'-x,-y,-z'
'-x,y,-z'
'x,-y,z'
'x+1/2,y+1/2,z'
'-x+1/2,-y+1/2,-z'
'-x+1/2,y+1/2,-z'
'x+1/2,-y+1/2,z'
loop_
_atom_site_label
_atom_site_type_symbol
_atom_site_fract_x
_atom_site_fract_y
_atom_site_fract_z
_atom_site_occupancy
Ca1 Ca 0.0000 0.1830 0.0000 1
Tl1 Tl 0.0000 0.5000 0.5000 1
Hg1 Hg 0.0000 0.3019 0.5000 1
Hg2 Hg 0.0861 0.0000 0.8358 1
Hg3 Hg 0.2280 0.3592 0.2425 1
```

***

# 9
DFT (PBE-GGA) results for Cr2OsRu after structural relaxation.

Output
Calculated formation energy, eV per atom: 0.11
Total energy, eV for the cell shown: -78.62

Cell and atoms, written as CIF:
```
data_Cr2OsRu
_chemical_formula_sum 'Cr4 Os2 Ru2'
_cell_length_a 3.7871
_cell_length_b 3.7871
_cell_length_c 7.2892
_cell_angle_alpha 90.00
_cell_angle_beta 90.00
_cell_angle_gamma 90.00
_symmetry_space_group_name_H-M 'I 4/m m m'
_symmetry_Int_Tables_number 139
_symmetry_space_group_name_Hall '-I 4 2'
loop_
_atom_site_label
_atom_site_type_symbol
_atom_site_fract_x
_atom_site_fract_y
_atom_site_fract_z
_atom_site_occupancy
Cr1 Cr 0.0000 0.5000 0.2500 1
Os1 Os 0.0000 0.0000 0.0000 1
Ru1 Ru 0.0000 0.0000 0.5000 1
```

***

# 10
DFT (PBE-GGA) results for YBrO after structural relaxation.

Output
Total energy, eV for the cell shown: -87.11
Energy relative to the elements, uncorrected, meV per atom: -2894

Cell and atoms, written as CIF:
```
data_YBrO
_chemical_formula_sum 'Y4 Br4 O4'
_cell_length_a 3.8608
_cell_length_b 19.4567
_cell_length_c 3.8625
_cell_angle_alpha 90.00
_cell_angle_beta 90.00
_cell_angle_gamma 90.00
_symmetry_space_group_name_H-M 'C m c m'
_symmetry_Int_Tables_number 63
_symmetry_space_group_name_Hall '-C 2c 2'
loop_
_atom_site_label
_atom_site_type_symbol
_atom_site_fract_x
_atom_site_fract_y
_atom_site_fract_z
_atom_site_occupancy
Y1 Y 0.0000 0.1914 0.2500 1
Br1 Br 0.0000 0.3954 0.2500 1
O1 O 0.0000 0.2500 0.7500 1
```